Record 1
Material: Ho2InGa3Ni4
Method: DFT, PBE
State: optimized geometry

SG = P-4m2
V = 17.0 A^3/atom
Raw total energy = -49.0 eV for the cell shown
Formation enthalpy at 0 K = -0.493 eV/atom
N(E_F) = 0.743 states/eV/atom

Unit cell a=4.0380 b=4.0380 c=10.4543 alpha=90.00 beta=90.00 gamma=90.00
Last column: nearest neighbours and their distance in Å.
Atoms (fractional coordinates):
1 Ni 0.0000 0.0000 0.0000  4 Ga 2.39
2 Ni 0.0000 0.5000 0.3476  3 Ga 2.35-2.57, 2 In 2.57
3 Ni 0.5000 0.5000 0.0000  4 Ga 2.39
4 Ni 0.5000 0.0000 0.6524  3 Ga 2.35-2.57, 2 In 2.57
5 Ga 0.0000 0.0000 0.5000  4 Ni 2.57, 4 In 2.86
6 Ga 0.0000 0.5000 0.1225  5 Ni 2.35-2.39
7 Ga 0.5000 0.0000 0.8775  5 Ni 2.35-2.39
8 Ho 0.0000 0.5000 0.7618  8 Ni 3.08-3.21, 6 Ga 3.10-3.40, 2 In 3.40
9 Ho 0.5000 0.0000 0.2382  8 Ni 3.08-3.21, 6 Ga 3.10-3.40, 2 In 3.40
10 In 0.5000 0.5000 0.5000  4 Ni 2.57, 4 Ga 2.86

=====

Record 2
Material: BaCuPdF6
Method: DFT, PBE
State: optimized geometry

SG = C2
Raw formation energy = -2149 meV per atom
V = 17.2 A^3/atom
Raw total energy = -41.8 eV for the cell shown
N(E_F) = 0.025 states/eV/atom

Unit cell a=5.5326 b=5.5319 c=5.6409 alpha=88.41 beta=91.58 gamma=63.62
Last column: nearest neighbours and their distance in Å.
Atoms (fractional coordinates):
1 F 0.3591 0.0194 0.6830  1 Cu 1.95
2 F 0.0194 0.3593 0.3170  1 Cu 1.95
3 F 0.9953 0.6388 0.7410  1 Pd 2.15, 1 Cu 2.38
4 F 0.6188 0.3492 0.7039  1 Cu 1.95
5 F 0.6388 0.9954 0.2590  1 Pd 2.15, 1 Cu 2.38
6 F 0.3493 0.6188 0.2960  1 Cu 1.95
7 Pd 0.6723 0.6723 0.5000  6 F 2.15-2.24
8 Cu 0.3346 0.3346 0.5000  4 F 1.95
9 Ba 0.0122 0.0123 0.0000  6 F 2.60-2.67

=====

- What is the raw total energy in the second record?
  -41.8 eV for the cell shown

=====

- Among the records above, which one has the highest V?
  BaCuPdF6

=====

- What is the formula in the first record?
  Ho2InGa3Ni4